(1)
Below is an optimized crystal structure of Fe2CuBr, with properties calculated at the PBE-GGA level.

Output
Energy above the most stable polymorph in this dataset (meV per atom): 180
Total energy (eV/cell): -41.2
E_form (uncorrected) (eV/atom): 0.523
Space group: C2/m, No. 12
Density of states at the Fermi level (states/eV/atom): 0.875

```
8
Lattice="7.881 0.000 0.000 0.000 3.178 0.000 -0.677 0.000 5.542" Properties=species:S:1:pos:R:3 pbc="T T T"
Fe 1.713 0.000 0.885
Fe 1.550 1.589 4.657
Fe 5.654 1.589 0.885
Fe 5.491 0.000 4.657
Cu 0.000 1.589 0.000
Cu 3.941 0.000 0.000
Br -0.339 0.000 2.771
Br 3.602 1.589 2.771
```

---

(2)
Below is an optimized crystal structure of MgGaPO2, with properties calculated at the PBE-GGA level.

Output
Energy above the most stable polymorph in this dataset (meV per atom): 181
Total energy (eV/cell): -21.5
E_form (uncorrected) (eV/atom): -0.317
Space group: P4/mmm, No. 123
Density of states at the Fermi level (states/eV/atom): 0.569

```
5
Lattice="3.808 0.000 0.000 0.000 3.808 0.000 0.000 0.000 5.548" Properties=species:S:1:pos:R:3 pbc="T T T"
Mg 0.000 0.000 0.000
Ga 1.904 1.904 2.774
P 0.000 0.000 2.774
O 0.000 1.904 0.000
O 1.904 0.000 0.000
```

---

(3)
Below is an optimized crystal structure of Sr2Ag2Hg, with properties calculated at the PBE-GGA level.

Output
Energy above the most stable polymorph in this dataset (meV per atom): 142
Total energy (eV/cell): -20.9
Space group: I4/mmm, No. 139
Density of states at the Fermi level (states/eV/atom): 0.621
ΔE_f (eV/atom): -0.2157

```
10
Lattice="6.183 0.000 0.000 0.000 6.183 0.000 0.000 0.000 8.310" Properties=species:S:1:pos:R:3 pbc="T T T"
Sr 0.000 3.091 2.077
Sr 0.000 3.091 6.232
Sr 3.091 0.000 2.077
Sr 3.091 0.000 6.232
Ag 0.000 0.000 1.321
Ag 0.000 0.000 6.988
Ag 3.091 3.091 2.833
Ag 3.091 3.091 5.476
Hg 0.000 0.000 4.155
Hg 3.091 3.091 0.000
```

---

(4)
Below is an optimized crystal structure of Tb2PN4, with properties calculated at the PBE-GGA level.

Output
Total energy (eV/cell): -110.9
E_form (uncorrected) (eV/atom): -1.065
Space group: Fddd, No. 70
Density of states at the Fermi level (states/eV/atom): 0.701

```
14
Lattice="0.000 4.954 6.169 3.136 0.000 6.169 3.136 4.954 0.000" Properties=species:S:1:pos:R:3 pbc="T T T"
Tb 2.352 0.614 4.627
Tb 3.920 3.091 7.711
Tb 2.352 6.817 4.627
Tb 3.920 9.294 7.711
P 2.352 3.715 4.627
P 3.920 6.192 7.711
N 3.348 2.675 5.442
N 3.348 4.755 3.811
N 4.916 5.152 6.896
N 1.356 2.675 3.811
N 4.916 7.232 8.526
N 1.356 4.755 5.442
N 2.924 5.152 8.526
N 2.924 7.232 6.896
```

---

(5)
Below is an optimized crystal structure of Li2ZrSb, with properties calculated at the PBE-GGA level.

Output
Total energy (eV/cell): -33.1
E_form (uncorrected) (eV/atom): -0.014
Space group: Cmmm, No. 65
Density of states at the Fermi level (states/eV/atom): 0.482

```
8
Lattice="3.793 0.000 0.000 0.000 4.698 0.000 0.000 0.000 9.588" Properties=species:S:1:pos:R:3 pbc="T T T"
Li 0.000 0.000 2.173
Li 0.000 0.000 7.415
Li 1.897 2.349 2.173
Li 1.897 2.349 7.415
Zr 0.000 2.349 4.794
Zr 1.897 0.000 4.794
Sb 0.000 2.349 0.000
Sb 1.897 0.000 0.000
```

---

(6)
Below is an optimized crystal structure of TbDy2Th6, with properties calculated at the PBE-GGA level.

Output
Total energy (eV/cell): -57.6
Space group: P-6m2, No. 187
Density of states at the Fermi level (states/eV/atom): 1.610
ΔE_f (eV/atom): 0.0838

```
9
Lattice="3.540 0.000 0.000 -1.770 3.065 0.000 0.000 0.000 26.916" Properties=species:S:1:pos:R:3 pbc="T T T"
Tb 0.000 0.000 0.000
Dy 1.770 1.022 8.870
Dy 1.770 1.022 18.046
Th 0.000 0.000 5.904
Th 0.000 0.000 11.794
Th 0.000 0.000 15.122
Th 0.000 0.000 21.012
Th 1.770 1.022 2.969
Th 1.770 1.022 23.947
```

---

(7)
Below is an optimized crystal structure of Eu2NiSe, with properties calculated at the PBE-GGA level.

Output
Total energy (eV/cell): -99.9
E_form (uncorrected) (eV/atom): -0.875
Space group: R-3m, No. 166
Density of states at the Fermi level (states/eV/atom): 4.199

```
12
Lattice="4.185 0.000 0.000 -2.093 3.625 0.000 0.000 0.000 21.249" Properties=species:S:1:pos:R:3 pbc="T T T"
Eu 0.000 0.000 5.242
Eu 0.000 0.000 16.007
Eu 0.000 2.416 8.924
Eu 0.000 2.416 19.408
Eu 2.093 1.208 1.841
Eu 2.093 1.208 12.325
Ni 0.000 0.000 10.625
Ni 0.000 2.416 3.542
Ni 2.093 1.208 17.708
Se 0.000 0.000 0.000
Se 0.000 2.416 14.166
Se 2.093 1.208 7.083
```

---

(8)
Below is an optimized crystal structure of HfAl2Sn, with properties calculated at the PBE-GGA level.

Output
Total energy (eV/cell): -22.0
Space group: P4/mmm, No. 123
Density of states at the Fermi level (states/eV/atom): 0.583
ΔE_f (eV/atom): -0.1465

```
4
Lattice="4.301 0.000 0.000 0.000 4.301 0.000 0.000 0.000 4.170" Properties=species:S:1:pos:R:3 pbc="T T T"
Hf 0.000 0.000 0.000
Al 0.000 2.151 2.085
Al 2.151 0.000 2.085
Sn 2.151 2.151 0.000
```

---

(9)
Below is an optimized crystal structure of Ce2TcGe6Pd, with properties calculated at the PBE-GGA level.

Output
Total energy (eV/cell): -58.0
Space group: C2/m, No. 12
Density of states at the Fermi level (states/eV/atom): 1.212
ΔE_f (eV/atom): -0.2839

```
10
Lattice="5.261 -3.044 0.000 5.261 3.044 0.000 -3.463 0.000 7.164" Properties=species:S:1:pos:R:3 pbc="T T T"
Ce 1.756 0.000 1.275
Ce 5.302 0.000 5.889
Tc 5.261 0.000 0.000
Ge 4.250 1.752 1.488
Ge -0.209 0.000 5.651
Ge 2.809 1.752 5.676
Ge 4.250 -1.752 1.488
Ge 7.268 0.000 1.513
Ge 2.809 -1.752 5.676
Pd -1.732 0.000 3.582
```

---

(10)
Below is an optimized crystal structure of CsWI3, with properties calculated at the PBE-GGA level.

Output
Energy above the most stable polymorph in this dataset (meV per atom): 0
Total energy (eV/cell): -19.0
E_form (uncorrected) (eV/atom): -0.115
Space group: Pm-3m, No. 221
Density of states at the Fermi level (states/eV/atom): 0.145

```
5
Lattice="5.862 0.000 0.000 0.000 5.862 0.000 0.000 0.000 5.862" Properties=species:S:1:pos:R:3 pbc="T T T"
Cs 0.000 0.000 0.000
W 2.931 2.931 2.931
I 0.000 2.931 2.931
I 2.931 0.000 2.931
I 2.931 2.931 0.000
```

---

(11)
Below is an optimized crystal structure of ZrAs4, with properties calculated at the PBE-GGA level.

Output
Energy above the most stable polymorph in this dataset (meV per atom): 0
Total energy (eV/cell): -57.1
Space group: I4/m, No. 87
Density of states at the Fermi level (states/eV/atom): 0.138
ΔE_f (eV/atom): -0.2815

```
10
Lattice="7.348 0.000 0.000 0.000 7.348 0.000 0.000 0.000 3.692" Properties=species:S:1:pos:R:3 pbc="T T T"
Zr 0.000 0.000 0.000
Zr 3.674 3.674 1.846
As 1.063 2.239 1.846
As 1.435 4.737 0.000
As 2.239 6.285 1.846
As 2.611 1.435 0.000
As 4.737 5.913 0.000
As 5.109 1.063 1.846
As 5.913 2.611 0.000
As 6.285 5.109 1.846
```

---

(12)
Below is an optimized crystal structure of Nd12TmCd3, with properties calculated at the PBE-GGA level.

Output
Total energy (eV/cell): -65.7
Space group: P4/mmm, No. 123
Density of states at the Fermi level (states/eV/atom): 1.487
ΔE_f (eV/atom): -0.0762

```
16
Lattice="5.005 0.000 0.000 0.000 5.005 0.000 0.000 0.000 20.276" Properties=species:S:1:pos:R:3 pbc="T T T"
Nd 0.000 0.000 0.000
Nd 0.000 0.000 5.002
Nd 0.000 0.000 10.138
Nd 0.000 0.000 15.274
Nd 0.000 2.503 2.495
Nd 0.000 2.503 7.513
Nd 0.000 2.503 12.763
Nd 0.000 2.503 17.781
Nd 2.503 0.000 2.495
Nd 2.503 0.000 7.513
Nd 2.503 0.000 12.763
Nd 2.503 0.000 17.781
Tm 2.503 2.503 10.138
Cd 2.503 2.503 0.000
Cd 2.503 2.503 4.948
Cd 2.503 2.503 15.328
```